No. 1
# LiTa2Cu

A relaxed structure of LiTa2Cu (GGA-PBE, Alexandria via LeMat-Bulk).

Results
The density of states at the Fermi level is 0.955 states/eV per atom. For the energy relative to the lowest polymorph listed for this composition, the calculation gives 174.6 meV per atom. The calculation puts the formation energy at 1.338 eV per formula unit. As for the total energy: -28.4 eV for the cell shown. Its symmetry is P4/mmm (123).

a = 3.9626 Å, b = 3.9307 Å, c = 3.9307 Å
α = 90.00°, β = 90.00°, γ = 90.00°
Element x y z (fractional)
Li 0.5000 0.0000 0.5000
Ta 0.0000 0.0000 0.0000
Ta 0.0000 0.5000 0.5000
Cu 0.5000 0.5000 0.0000

***

No. 2
# Li2TaCu

A relaxed structure of Li2TaCu (GGA-PBE, Alexandria via LeMat-Bulk).

Results
The density of states at the Fermi level is 0.937 states/eV per atom. For the energy relative to the lowest polymorph listed for this composition, the calculation gives 366.4 meV per atom. The calculation puts the formation energy at 2.220 eV per formula unit. As for the total energy: -17.6 eV for the cell shown. Its symmetry is I4/mmm (139).

a = 5.3864 Å, b = 5.3864 Å, c = 5.3864 Å
α = 140.37°, β = 140.37°, γ = 57.29°
Each line ends with the local moment (μB).
Element x y z (fractional)
Li 0.0000 0.0000 0.0000  0.02
Li 0.5000 0.5000 0.0000  0.02
Ta 0.2500 0.7500 0.5000  0.77
Cu 0.7500 0.2500 0.5000  0.13

***

No. 3
# LiTa2Cu

A relaxed structure of LiTa2Cu (GGA-PBE, Alexandria via LeMat-Bulk).

Results
The density of states at the Fermi level is 0.776 states/eV per atom. For the energy relative to the lowest polymorph listed for this composition, the calculation gives 165.4 meV per atom. The calculation puts the formation energy at 1.301 eV per formula unit. As for the total energy: -28.4 eV for the cell shown. Its symmetry is Cmmm (65).

a = 2.6829 Å, b = 2.6829 Å, c = 9.7552 Å
α = 90.00°, β = 90.00°, γ = 109.38°
Element x y z (fractional)
Li 0.5000 0.5000 0.7500
Ta 0.0000 0.0000 0.0168
Ta 0.0000 0.0000 0.4832
Cu 0.5000 0.5000 0.2500

***

No. 4
# Li2TaCu

A relaxed structure of Li2TaCu (GGA-PBE, Alexandria via LeMat-Bulk).

Results
The density of states at the Fermi level is 0.452 states/eV per atom. For the energy relative to the lowest polymorph listed for this composition, the calculation gives 122.2 meV per atom. The calculation puts the formation energy at 1.244 eV per formula unit. As for the total energy: -18.5 eV for the cell shown. Its symmetry is Cm (8).

a = 4.6745 Å, b = 4.6745 Å, c = 5.3966 Å
α = 84.03°, β = 84.03°, γ = 32.01°
Element x y z (fractional)
Li 0.7463 0.7463 0.7853
Li 0.9890 0.9890 0.9828
Cu 0.2558 0.2558 0.2699
Ta 0.5088 0.5088 0.4620

***

No. 5
# LiTa2Cu

A relaxed structure of LiTa2Cu (GGA-PBE, Alexandria via LeMat-Bulk).

Results
The density of states at the Fermi level is 0.841 states/eV per atom. For the energy relative to the lowest polymorph listed for this composition, the calculation gives 0.0 meV per atom. The calculation puts the formation energy at 0.640 eV per formula unit. As for the total energy: -29.1 eV for the cell shown. Its symmetry is Cmm2 (35).

a = 2.7851 Å, b = 2.7851 Å, c = 8.5617 Å
α = 90.00°, β = 90.00°, γ = 100.86°
Element x y z (fractional)
Li 0.5000 0.5000 0.7203
Ta 0.0000 0.0000 0.0053
Ta 0.5000 0.5000 0.2710
Cu 0.0000 0.0000 0.5035

***

No. 6
# Li4TaCu

A relaxed structure of Li4TaCu (GGA-PBE, Alexandria via LeMat-Bulk).

Results
The density of states at the Fermi level is 0.487 states/eV per atom. The calculation puts the formation energy at 3.136 eV per formula unit. As for the total energy: -20.5 eV for the cell shown. Its symmetry is F-43m (216).

a = 4.9191 Å, b = 4.9191 Å, c = 4.9191 Å
α = 60.00°, β = 60.00°, γ = 60.00°
Each line ends with the local moment (μB).
Element x y z (fractional)
Li 0.3738 0.3738 0.8786  0.00
Li 0.3738 0.8786 0.3738  0.00
Li 0.3738 0.3738 0.3738  0.00
Li 0.8786 0.3738 0.3738  0.00
Cu 0.0000 0.0000 0.0000  0.02
Ta 0.7500 0.7500 0.7500  0.23

***

No. 7
# Li2TaCu

A relaxed structure of Li2TaCu (GGA-PBE, Alexandria via LeMat-Bulk).

Results
The density of states at the Fermi level is 0.709 states/eV per atom. For the energy relative to the lowest polymorph listed for this composition, the calculation gives 4.5 meV per atom. The calculation puts the formation energy at 0.773 eV per formula unit. As for the total energy: -19.0 eV for the cell shown. Its symmetry is Cmm2 (35).

a = 2.6884 Å, b = 2.6884 Å, c = 9.4274 Å
α = 90.00°, β = 90.00°, γ = 107.97°
Element x y z (fractional)
Li 0.5000 0.5000 0.2510
Li 0.0000 0.0000 0.9754
Ta 0.0000 0.0000 0.5203
Cu 0.5000 0.5000 0.7534

***

No. 8
# LiTa2Cu

A relaxed structure of LiTa2Cu (GGA-PBE, Alexandria via LeMat-Bulk).

Results
The density of states at the Fermi level is 0.846 states/eV per atom. For the energy relative to the lowest polymorph listed for this composition, the calculation gives 169.2 meV per atom. The calculation puts the formation energy at 1.316 eV per formula unit. As for the total energy: -28.4 eV for the cell shown. Its symmetry is Pmmm (47).

a = 3.0723 Å, b = 4.3969 Å, c = 4.7380 Å
α = 90.00°, β = 90.00°, γ = 90.00°
Element x y z (fractional)
Cu 0.5000 0.0000 0.5000
Ta 0.5000 0.5000 0.0000
Ta 0.0000 0.0000 0.0000
Li 0.0000 0.5000 0.5000

***

No. 9
# Li2Ta2Cu

A relaxed structure of Li2Ta2Cu (GGA-PBE, Alexandria via LeMat-Bulk).

Results
The density of states at the Fermi level is 0.874 states/eV per atom. For the energy relative to the lowest polymorph listed for this composition, the calculation gives 0.0 meV per atom. The calculation puts the formation energy at 2.427 eV per formula unit. As for the total energy: -58.4 eV for the cell shown. Its symmetry is P4/mbm (127).

a = 5.5880 Å, b = 5.5880 Å, c = 4.6356 Å
α = 90.00°, β = 90.00°, γ = 90.00°
Element x y z (fractional)
Ta 0.6951 0.8049 0.5000
Ta 0.8049 0.3049 0.5000
Ta 0.1951 0.6951 0.5000
Ta 0.3049 0.1951 0.5000
Li 0.3762 0.8762 0.0000
Li 0.1238 0.3762 0.0000
Li 0.6238 0.1238 0.0000
Li 0.8762 0.6238 0.0000
Cu 0.0000 0.0000 0.0000
Cu 0.5000 0.5000 0.0000

***

No. 10
# Li2TaCu

A relaxed structure of Li2TaCu (GGA-PBE, Alexandria via LeMat-Bulk).

Results
The density of states at the Fermi level is 0.701 states/eV per atom. For the energy relative to the lowest polymorph listed for this composition, the calculation gives 204.1 meV per atom. The calculation puts the formation energy at 1.571 eV per formula unit. As for the total energy: -18.2 eV for the cell shown. Its symmetry is Pmmm (47).

a = 2.6007 Å, b = 4.1537 Å, c = 5.5019 Å
α = 90.00°, β = 90.00°, γ = 90.00°
Element x y z (fractional)
Ta 0.5000 0.5000 0.2500
Cu 0.5000 0.5000 0.7500
Li 0.0000 0.0000 0.5273
Li 0.0000 0.0000 0.9727

***

No. 11
# LiTaCu

A relaxed structure of LiTaCu (GGA-PBE, Alexandria via LeMat-Bulk).

Results
The density of states at the Fermi level is 1.405 states/eV per atom. For the energy relative to the lowest polymorph listed for this composition, the calculation gives 490.5 meV per atom. The calculation puts the formation energy at 2.170 eV per formula unit. As for the total energy: -15.7 eV for the cell shown. Its symmetry is F-43m (216).

a = 4.1142 Å, b = 4.1142 Å, c = 4.1142 Å
α = 60.00°, β = 60.00°, γ = 60.00°
Element x y z (fractional)
Ta 0.5000 0.5000 0.5000
Cu 0.7500 0.7500 0.7500
Li 0.0000 0.0000 0.0000

***

No. 12
# LiTa2Cu

A relaxed structure of LiTa2Cu (GGA-PBE, Alexandria via LeMat-Bulk).

Results
The density of states at the Fermi level is 0.722 states/eV per atom. For the energy relative to the lowest polymorph listed for this composition, the calculation gives 204.0 meV per atom. The calculation puts the formation energy at 1.456 eV per formula unit. As for the total energy: -28.3 eV for the cell shown. Its symmetry is P4/mmm (123).

a = 2.7245 Å, b = 2.7245 Å, c = 8.9436 Å
α = 90.00°, β = 90.00°, γ = 90.00°
Element x y z (fractional)
Ta 0.0000 0.0000 0.4702
Ta 0.0000 0.0000 0.0298
Cu 0.5000 0.5000 0.2500
Li 0.5000 0.5000 0.7500